A plane-wave DFT calculation with GGA+U was carried out for a relaxed structure of SrLaCoO4.

## Properties
E above lowest polymorph (eV/atom): 0.001
Crystal system: monoclinic

Unit cell a=5.494 b=5.438 c=12.559 alpha=89.98 beta=90.00 gamma=90.00
Each line ends with the local moment (μB).
Fractional coordinates of all 28 atoms:
Sr 0.995 0.500 0.144  0.00
Sr 0.505 0.500 0.644  0.00
Sr 0.005 0.000 0.356  0.00
Sr 0.495 0.000 0.856  0.00
La 0.513 0.001 0.137  0.01
La 0.987 0.001 0.637  0.01
La 0.487 0.499 0.363  0.01
La 0.013 0.499 0.863  0.01
Co 0.498 0.500 0.999  2.05
Co 0.502 0.000 0.501  2.05
Co 0.002 0.500 0.499  2.05
Co 0.998 0.000 0.001  2.05
O 0.485 0.000 0.327  -0.01
O 0.015 0.001 0.827  -0.01
O 0.515 0.500 0.173  -0.01
O 0.985 0.500 0.673  -0.01
O 0.036 0.500 0.339  -0.03
O 0.464 0.500 0.839  -0.03
O 0.964 0.000 0.161  -0.03
O 0.536 0.000 0.661  -0.03
O 0.244 0.243 0.008  -0.01
O 0.756 0.257 0.492  -0.01
O 0.755 0.753 0.992  -0.01
O 0.245 0.747 0.508  -0.01
O 0.255 0.747 0.008  -0.01
O 0.745 0.753 0.492  -0.01
O 0.744 0.257 0.992  -0.01
O 0.256 0.243 0.508  -0.01